VASP calculation (PBE) on a relaxed UVCo crystal.

POSCAR file:
```
UVCo
1.0
-1.6988 1.6988 3.9764
1.6988 -1.6988 3.9764
1.6988 1.6988 -3.9764
U V Co
1 1 1
direct
0.0000 0.0000 0.0000 U
0.2918 0.2918 0.0000 V
0.6530 0.6530 0.0000 Co
```

Computed properties:
Relative energy among the computed polymorphs ... 0 meV/atom
Fermi-level density of states ... 4.3 states/eV/cell
E_form ... 0.1261 eV per atom
Electronic total energy ... -9.04 eV/atom
Calculated volume ... 15.30 A^3/atom